## NaAlNi2Ge (PBE)

Data for crystalline NaAlNi2Ge at its relaxed geometry.

a b c (Å): 4.4024 4.4024 4.9798
angles (deg): 90.00 90.00 90.00
Last column: nearest neighbours and their distance in Å.
Space group P4/mmm (No. 123)
Symmetry-distinct sites (fractional):
Na 0.0000 0.0000 0.0000 (multiplicity 1)  2 Al 2.49
Al 0.0000 0.0000 0.5000 (multiplicity 1)  4 Ni 2.20
Ni 0.0000 0.5000 0.5000 (multiplicity 2)  2 Al 2.20
Ge 0.5000 0.5000 0.0000 (multiplicity 1)  4 Na 3.11, 8 Ni 3.32

Its formation energy from the elements is 68.0 kJ per mole of atoms.

***

## AgTe2PtC (PBE)

Data for crystalline AgTe2PtC at its relaxed geometry.

a b c (Å): 5.6429 5.6429 3.7409
angles (deg): 90.00 90.00 90.00
Last column: nearest neighbours and their distance in Å.
Space group P4/mmm (No. 123)
Symmetry-distinct sites (fractional):
Ag 0.0000 0.0000 0.0000 (multiplicity 1)  8 Te 3.39, 2 Ag 3.74
Te 0.0000 0.5000 0.5000 (multiplicity 2)  2 Pt 2.82
Pt 0.5000 0.5000 0.5000 (multiplicity 1)  2 C 1.87
C 0.5000 0.5000 0.0000 (multiplicity 1)  2 Pt 1.87

For the formation energy from raw total energies, the calculation gives 0.658 eV/atom.